Entry 1:
{"formula": "CsRuS2", "functional": "PBE-GGA", "state": "relaxed", "cell": [[1.934, 1.117, 6.750], [-1.934, 1.117, 6.750], [0.000, -2.233, 6.750]], "species": ["Cs", "Ru", "S", "S"], "frac_coords": [[0.000, 0.000, 0.000], [0.500, 0.500, 0.500], [0.215, 0.215, 0.215], [0.785, 0.785, 0.785]], "raw_formation_energy_mev_per_atom": -485, "relative_energy_ev_per_atom": 0.2094, "mass_density_g_cm3": 5.658, "total_energy_ev_per_cell": -20.3}

Entry 2:
{"formula": "Zr2Tl2Cd", "functional": "PBE-GGA", "state": "relaxed", "cell": [[-2.048, 2.048, 7.797], [2.048, -2.048, 7.797], [2.048, 2.048, -7.797]], "species": ["Zr", "Zr", "Tl", "Tl", "Cd"], "frac_coords": [[0.250, 0.750, 0.500], [0.750, 0.250, 0.500], [0.095, 0.095, 0.000], [0.905, 0.905, 0.000], [0.500, 0.500, 0.000]], "relative_energy_ev_per_atom": 0.3021, "mass_density_g_cm3": 8.934, "total_energy_ev_per_cell": -20.8, "e_form_mev_per_atom": 395}

Entry 3:
{"formula": "PuTiF6", "functional": "PBE-GGA", "state": "relaxed", "cell": [[2.821, -3.985, 0.000], [2.821, 3.985, 0.000], [-1.002, 0.000, 5.135]], "species": ["Pu", "Ti", "F", "F", "F", "F", "F", "F"], "frac_coords": [[0.000, 0.000, 0.000], [0.500, 0.500, 0.500], [0.165, 0.488, 0.239], [0.229, 0.229, 0.674], [0.488, 0.165, 0.239], [0.512, 0.835, 0.761], [0.771, 0.771, 0.326], [0.835, 0.512, 0.761]], "raw_formation_energy_mev_per_atom": -3403, "mass_density_g_cm3": 5.839, "total_energy_ev_per_cell": -60.7}

Entry 4:
{"formula": "LaBi2Pb", "functional": "PBE-GGA", "state": "relaxed", "cell": [[2.489, 1.437, 6.969], [-2.489, 1.437, 6.969], [0.000, -2.874, 6.969]], "species": ["La", "Bi", "Bi", "Pb"], "frac_coords": [[0.000, 0.000, 0.000], [0.414, 0.414, 0.414], [0.585, 0.585, 0.585], [0.175, 0.175, 0.175]], "mass_density_g_cm3": 8.485, "total_energy_ev_per_cell": -17.8, "e_form_mev_per_atom": -354}

Entry 5:
{"formula": "TiGe2Pb2", "functional": "PBE-GGA", "state": "relaxed", "cell": [[6.973, 0.000, 0.000], [0.000, 6.973, 0.000], [0.000, 0.000, 4.848]], "species": ["Ti", "Ti", "Ge", "Ge", "Ge", "Ge", "Pb", "Pb", "Pb", "Pb"], "frac_coords": [[0.000, 0.000, 0.000], [0.500, 0.500, 0.000], [0.135, 0.365, 0.000], [0.365, 0.865, 0.000], [0.635, 0.135, 0.000], [0.865, 0.635, 0.000], [0.180, 0.680, 0.500], [0.320, 0.180, 0.500], [0.680, 0.820, 0.500], [0.820, 0.320, 0.500]], "mass_density_g_cm3": 8.559, "total_energy_ev_per_cell": -47.8, "e_form_mev_per_atom": 131}

Entry 6:
{"formula": "NbFe2BPd", "functional": "PBE-GGA", "state": "relaxed", "cell": [[4.491, 0.000, 0.000], [0.000, 4.491, 0.000], [0.000, 0.000, 4.208]], "species": ["Nb", "Fe", "Fe", "B", "Pd"], "frac_coords": [[0.000, 0.000, 0.000], [0.000, 0.500, 0.000], [0.500, 0.000, 0.000], [0.000, 0.000, 0.500], [0.500, 0.500, 0.500]], "mass_density_g_cm3": 6.295, "total_energy_ev_per_cell": -31.1, "e_form_mev_per_atom": 1544}

Entry 7:
{"formula": "Zn2ReRu", "functional": "PBE-GGA", "state": "relaxed", "cell": [[0.000, 3.040, 3.040], [3.040, 0.000, 3.040], [3.040, 3.040, 0.000]], "species": ["Zn", "Zn", "Re", "Ru"], "frac_coords": [[0.250, 0.250, 0.250], [0.750, 0.750, 0.750], [0.000, 0.000, 0.000], [0.500, 0.500, 0.500]], "relative_energy_ev_per_atom": 0.4365, "mass_density_g_cm3": 12.361, "total_energy_ev_per_cell": -22.6, "e_form_mev_per_atom": 409}

Entry 8:
{"formula": "CdAuSe2N", "functional": "PBE-GGA", "state": "relaxed", "cell": [[5.388, 0.000, 0.000], [0.000, 5.388, 0.000], [0.000, 0.000, 3.776]], "species": ["Cd", "Au", "Se", "Se", "N"], "frac_coords": [[0.000, 0.000, 0.000], [0.500, 0.500, 0.500], [0.000, 0.500, 0.500], [0.500, 0.000, 0.500], [0.500, 0.500, 0.000]], "raw_formation_energy_mev_per_atom": 847, "relative_energy_ev_per_atom": 0.0000, "mass_density_g_cm3": 7.291, "total_energy_ev_per_cell": -15.3}

Entry 9:
{"formula": "TcBC2", "functional": "PBE-GGA", "state": "relaxed", "cell": [[-2.175, 2.175, 3.992], [2.175, -2.175, 3.992], [2.175, 2.175, -3.992]], "species": ["Tc", "Tc", "B", "B", "C", "C", "C", "C"], "frac_coords": [[0.000, 0.000, 0.000], [0.750, 0.250, 0.500], [0.250, 0.750, 0.500], [0.500, 0.500, 0.000], [0.185, 0.625, 0.060], [0.375, 0.435, 0.560], [0.565, 0.125, 0.940], [0.875, 0.815, 0.440]], "mass_density_g_cm3": 5.838, "total_energy_ev_per_cell": -65.3, "e_form_mev_per_atom": 708}

Entry 10:
{"formula": "Pm3Tm7Sc2", "functional": "PBE-GGA", "state": "relaxed", "cell": [[3.556, 0.000, 0.000], [0.000, 5.457, 0.000], [-1.782, 0.000, 19.966]], "species": ["Pm", "Pm", "Pm", "Tm", "Tm", "Tm", "Tm", "Tm", "Tm", "Tm", "Sc", "Sc"], "frac_coords": [[0.000, 0.000, 0.000], [0.330, 0.500, 0.662], [0.670, 0.500, 0.338], [0.088, 0.500, 0.175], [0.215, 0.000, 0.429], [0.431, 0.000, 0.862], [0.500, 0.500, 0.000], [0.569, 0.000, 0.138], [0.785, 0.000, 0.571], [0.912, 0.500, 0.825], [0.138, 0.000, 0.274], [0.862, 0.000, 0.726]], "mass_density_g_cm3": 7.318, "total_energy_ev_per_cell": -55.3, "e_form_mev_per_atom": 242}

Entry 11:
{"formula": "Dy2Th6Sc", "functional": "PBE-GGA", "state": "relaxed", "cell": [[7.618, -5.915, 0.000], [7.618, 5.915, 0.000], [-0.866, 0.000, 6.416]], "species": ["Dy", "Dy", "Dy", "Dy", "Th", "Th", "Th", "Th", "Th", "Th", "Th", "Th", "Th", "Th", "Th", "Th", "Sc", "Sc"], "frac_coords": [[0.159, 0.225, 0.373], [0.225, 0.159, 0.873], [0.775, 0.841, 0.127], [0.841, 0.775, 0.627], [0.063, 0.562, 0.237], [0.124, 0.837, 0.993], [0.163, 0.876, 0.507], [0.267, 0.506, 0.719], [0.438, 0.937, 0.263], [0.494, 0.733, 0.781], [0.506, 0.267, 0.219], [0.562, 0.063, 0.737], [0.733, 0.494, 0.281], [0.837, 0.124, 0.493], [0.876, 0.163, 0.007], [0.937, 0.438, 0.763], [0.386, 0.614, 0.250], [0.614, 0.386, 0.750]], "mass_density_g_cm3": 10.120, "total_energy_ev_per_cell": -116.4, "e_form_mev_per_atom": 206}

Entry 12:
{"formula": "CePrNdTh", "functional": "PBE-GGA", "state": "relaxed", "cell": [[1.795, 1.036, 11.742], [-1.795, 1.036, 11.742], [0.000, -2.073, 11.742]], "species": ["Ce", "Pr", "Nd", "Th"], "frac_coords": [[0.000, 0.000, 0.000], [0.172, 0.172, 0.172], [0.415, 0.415, 0.415], [0.589, 0.589, 0.589]], "relative_energy_ev_per_atom": 0.0000, "mass_density_g_cm3": 8.328, "total_energy_ev_per_cell": -22.7, "e_form_mev_per_atom": 43}

Entry 13:
{"formula": "KCeBr3", "functional": "PBE-GGA", "state": "relaxed", "cell": [[8.388, -2.084, 0.000], [8.388, 2.084, 0.000], [-6.558, 0.000, 10.136]], "species": ["K", "K", "Ce", "Ce", "Br", "Br", "Br", "Br", "Br", "Br"], "frac_coords": [[0.090, 0.090, 0.409], [0.910, 0.910, 0.591], [0.245, 0.245, 0.869], [0.755, 0.755, 0.131], [0.107, 0.107, 0.958], [0.312, 0.312, 0.687], [0.397, 0.397, 0.329], [0.603, 0.603, 0.671], [0.688, 0.688, 0.313], [0.893, 0.893, 0.042]], "raw_formation_energy_mev_per_atom": -1647, "relative_energy_ev_per_atom": 0.0054, "mass_density_g_cm3": 3.926, "total_energy_ev_per_cell": -40.6}

Entry 14:
{"formula": "Tb4Pr3Sm5", "functional": "PBE-GGA", "state": "relaxed", "cell": [[6.286, 0.000, 0.000], [-0.012, 7.248, 0.000], [-0.015, -0.005, 8.887]], "species": ["Tb", "Tb", "Tb", "Tb", "Pr", "Pr", "Pr", "Sm", "Sm", "Sm", "Sm", "Sm"], "frac_coords": [[0.166, 0.000, 0.166], [0.332, 0.248, 0.834], [0.668, 0.752, 0.166], [0.834, 0.000, 0.834], [0.334, 0.752, 0.835], [0.500, 0.500, 0.500], [0.666, 0.248, 0.165], [0.001, 0.248, 0.500], [0.166, 0.500, 0.166], [0.500, 0.000, 0.500], [0.834, 0.500, 0.834], [0.999, 0.752, 0.500]], "mass_density_g_cm3": 7.425, "total_energy_ev_per_cell": -56.3, "e_form_mev_per_atom": 14}

Entry 15:
{"formula": "Li2CoAg", "functional": "PBE-GGA", "state": "relaxed", "cell": [[2.674, 0.000, 0.000], [0.000, 2.674, 0.000], [0.000, 0.000, 7.980]], "species": ["Li", "Li", "Co", "Ag"], "frac_coords": [[0.000, 0.000, 0.235], [0.000, 0.000, 0.765], [0.500, 0.500, 0.000], [0.500, 0.500, 0.500]], "mass_density_g_cm3": 5.258, "total_energy_ev_per_cell": -13.3, "e_form_mev_per_atom": 113}

Entry 16:
{"formula": "PmTm2", "functional": "PBE-GGA", "state": "relaxed", "cell": [[0.000, 4.678, 4.678], [4.678, 0.000, 4.678], [4.678, 4.678, 0.000]], "species": ["Pm", "Pm", "Tm", "Tm", "Tm", "Tm"], "frac_coords": [[0.125, 0.125, 0.125], [0.875, 0.875, 0.875], [0.000, 0.500, 0.500], [0.500, 0.000, 0.500], [0.500, 0.500, 0.000], [0.500, 0.500, 0.500]], "relative_energy_ev_per_atom": 0.2645, "mass_density_g_cm3": 7.832, "total_energy_ev_per_cell": -25.7, "e_form_mev_per_atom": 286}

Entry 17:
{"formula": "Pr3ErHg3", "functional": "PBE-GGA", "state": "relaxed", "cell": [[4.398, -5.956, 0.000], [4.398, 5.956, 0.000], [-1.110, 0.000, 8.196]], "species": ["Pr", "Pr", "Pr", "Pr", "Pr", "Pr", "Er", "Er", "Hg", "Hg", "Hg", "Hg", "Hg", "Hg"], "frac_coords": [[0.173, 0.827, 0.000], [0.243, 0.757, 0.500], [0.356, 0.356, 0.124], [0.644, 0.644, 0.876], [0.757, 0.243, 0.500], [0.827, 0.173, 0.000], [0.298, 0.298, 0.540], [0.702, 0.702, 0.460], [0.005, 0.005, 0.296], [0.111, 0.455, 0.790], [0.455, 0.111, 0.790], [0.545, 0.889, 0.210], [0.889, 0.545, 0.210], [0.995, 0.995, 0.704]], "mass_density_g_cm3": 9.218, "total_energy_ev_per_cell": -43.5, "e_form_mev_per_atom": -275}

Entry 18:
{"formula": "TcHg2Os", "functional": "PBE-GGA", "state": "relaxed", "cell": [[2.882, 0.000, 0.000], [0.000, 4.278, 0.000], [0.000, 0.000, 5.788]], "species": ["Tc", "Hg", "Hg", "Os"], "frac_coords": [[0.000, 0.000, 0.000], [0.500, 0.500, 0.251], [0.500, 0.500, 0.749], [0.000, 0.000, 0.500]], "relative_energy_ev_per_atom": 0.6729, "mass_density_g_cm3": 16.040, "total_energy_ev_per_cell": -18.2, "e_form_mev_per_atom": 996}

Entry 19:
{"formula": "TcAg2As", "functional": "PBE-GGA", "state": "relaxed", "cell": [[1.446, 0.835, 9.460], [-1.446, 0.835, 9.460], [0.000, -1.670, 9.460]], "species": ["Tc", "Ag", "Ag", "As"], "frac_coords": [[0.000, 0.000, 0.000], [0.251, 0.251, 0.251], [0.749, 0.749, 0.749], [0.500, 0.500, 0.500]], "mass_density_g_cm3": 9.419, "total_energy_ev_per_cell": -18.8, "e_form_mev_per_atom": 490}

Entry 20:
{"formula": "CsNdSnBr6", "functional": "PBE-GGA", "state": "relaxed", "cell": [[7.755, 0.000, 0.000], [-3.877, 6.716, 0.000], [0.000, 0.000, 7.910]], "species": ["Cs", "Nd", "Sn", "Br", "Br", "Br", "Br", "Br", "Br"], "frac_coords": [[0.000, 0.000, 0.000], [0.333, 0.667, 0.500], [0.667, 0.333, 0.500], [0.009, 0.383, 0.286], [0.009, 0.626, 0.714], [0.374, 0.383, 0.714], [0.374, 0.991, 0.286], [0.617, 0.626, 0.286], [0.617, 0.991, 0.714]], "raw_formation_energy_mev_per_atom": -1527, "mass_density_g_cm3": 3.528, "total_energy_ev_per_cell": -33.4}

Entry 21:
{"formula": "AcDyIrBr", "functional": "PBE-GGA", "state": "relaxed", "cell": [[2.099, 1.212, 7.991], [-2.099, 1.212, 7.991], [0.000, -2.423, 7.991]], "species": ["Ac", "Dy", "Ir", "Br"], "frac_coords": [[0.000, 0.000, 0.000], [0.207, 0.207, 0.207], [0.597, 0.597, 0.597], [0.780, 0.780, 0.780]], "raw_formation_energy_mev_per_atom": -1120, "mass_density_g_cm3": 9.011, "total_energy_ev_per_cell": -23.7}

Entry 22:
{"formula": "Y6HgSe4", "functional": "PBE-GGA", "state": "relaxed", "cell": [[2.033, -6.730, 0.000], [2.033, 6.730, 0.000], [0.000, 0.000, 20.773]], "species": ["Y", "Y", "Y", "Y", "Y", "Y", "Y", "Y", "Y", "Y", "Y", "Y", "Hg", "Hg", "Se", "Se", "Se", "Se", "Se", "Se", "Se", "Se"], "frac_coords": [[0.000, 0.000, 0.000], [0.000, 0.000, 0.500], [0.165, 0.835, 0.750], [0.271, 0.729, 0.088], [0.271, 0.729, 0.412], [0.453, 0.547, 0.664], [0.453, 0.547, 0.836], [0.547, 0.453, 0.164], [0.547, 0.453, 0.336], [0.729, 0.271, 0.588], [0.729, 0.271, 0.912], [0.835, 0.165, 0.250], [0.164, 0.836, 0.250], [0.836, 0.164, 0.750], [0.089, 0.911, 0.624], [0.089, 0.911, 0.876], [0.361, 0.639, 0.540], [0.361, 0.639, 0.960], [0.639, 0.361, 0.040], [0.639, 0.361, 0.460], [0.911, 0.089, 0.124], [0.911, 0.089, 0.376]], "raw_formation_energy_mev_per_atom": -1407, "mass_density_g_cm3": 6.133, "total_energy_ev_per_cell": -137.0}

Entry 23:
{"formula": "CrInBr2Cl", "functional": "PBE-GGA", "state": "relaxed", "cell": [[5.311, 0.000, 0.000], [0.000, 5.311, 0.000], [0.000, 0.000, 4.864]], "species": ["Cr", "In", "Br", "Br", "Cl"], "frac_coords": [[0.000, 0.000, 0.000], [0.500, 0.500, 0.500], [0.000, 0.500, 0.000], [0.500, 0.000, 0.000], [0.000, 0.000, 0.500]], "raw_formation_energy_mev_per_atom": -705, "mass_density_g_cm3": 4.382, "total_energy_ev_per_cell": -21.1}